Density functional theory data (PBE) for an optimized crystal structure of HfBr2.

abc: 8.2385 8.2385 8.2385
angles: 60.00 60.00 60.00
Closest atoms and distances in Å follow each position.
Positions (direct):
1 Br 0.8750 0.3750 0.3750  2 Hf 2.52
2 Br 0.3750 0.3750 0.3750  2 Hf 2.52
3 Br 0.3750 0.3750 0.8750  2 Hf 2.52
4 Br 0.3750 0.8750 0.3750  2 Hf 2.52
5 Hf 0.2500 0.2500 0.2500  4 Br 2.52
6 Hf 0.5000 0.5000 0.5000  4 Br 2.52

## Properties
DFT total energy in eV per atom: -4.64
SG: Fd-3m (227)

***

Density functional theory data (PBE) for an optimized crystal structure of HfBr4.

abc: 6.7301 6.7301 6.7301
angles: 122.53 122.53 85.67
Closest atoms and distances in Å follow each position.
Positions (direct):
1 Br 0.0817 0.0817 0.4430  1 Hf 2.45
2 Br 0.3612 0.9183 0.0000  1 Hf 2.45
3 Br 0.9183 0.3612 0.0000  1 Hf 2.45
4 Br 0.6387 0.6387 0.5570  1 Hf 2.45
5 Hf 0.0000 0.0000 0.0000  4 Br 2.45

## Properties
DFT total energy in eV per atom: -4.66
SG: I-42m (121)

***

Density functional theory data (PBE) for an optimized crystal structure of HfBr2.

abc: 6.8534 6.8534 3.3315
angles: 90.00 90.00 90.00
Closest atoms and distances in Å follow each position.
Positions (direct):
1 Hf 0.0000 0.0000 0.0000  6 Br 2.69-2.72
2 Hf 0.5000 0.5000 0.5000  6 Br 2.69-2.72
3 Br 0.7225 0.7225 0.0000  3 Hf 2.69-2.72
4 Br 0.2225 0.7775 0.5000  3 Hf 2.69-2.72
5 Br 0.7775 0.2225 0.5000  3 Hf 2.69-2.72
6 Br 0.2775 0.2775 0.0000  3 Hf 2.69-2.72

## Properties
DFT total energy in eV per atom: -5.20
SG: P4_2/mnm (136)

***

Density functional theory data (PBE) for an optimized crystal structure of HfBr4.

abc: 6.4021 3.8615 6.4964
angles: 90.00 94.82 90.00
Closest atoms and distances in Å follow each position.
Positions (direct):
1 Br 0.2999 0.0000 0.1934  2 Hf 2.69
2 Br 0.2119 0.5000 0.7111  1 Hf 2.52
3 Br 0.7001 0.0000 0.8066  2 Hf 2.69
4 Br 0.7881 0.5000 0.2889  1 Hf 2.52
5 Hf 0.5000 0.5000 0.0000  6 Br 2.52-2.69

## Properties
DFT total energy in eV per atom: -4.64
SG: P2/m (10)

***

Density functional theory data (PBE) for an optimized crystal structure of HfBr3.

abc: 7.2299 7.2299 6.7729
angles: 90.00 90.00 120.00
Closest atoms and distances in Å follow each position.
Positions (direct):
1 Br 0.3351 0.0092 0.2500  1 Hf 2.47
2 Br 0.9908 0.3258 0.2500  1 Hf 2.47
3 Br 0.0092 0.6742 0.7500  1 Hf 2.47
4 Br 0.6649 0.9908 0.7500  1 Hf 2.47
5 Br 0.6742 0.6649 0.2500  1 Hf 2.47
6 Br 0.3258 0.3351 0.7500  1 Hf 2.47
7 Hf 0.3333 0.6667 0.2500  3 Br 2.47
8 Hf 0.6667 0.3333 0.7500  3 Br 2.47

## Properties
DFT total energy in eV per atom: -4.63
SG: P6_3/m (176)

***

Density functional theory data (PBE) for an optimized crystal structure of HfBr.

abc: 4.2467 4.2467 4.2467
angles: 60.00 60.00 60.00
Closest atoms and distances in Å follow each position.
Positions (direct):
1 Br 0.0000 0.0000 0.0000  4 Hf 2.60
2 Hf 0.2500 0.2500 0.2500  4 Br 2.60

## Properties
DFT total energy in eV per atom: -5.13
SG: F-43m (216)

***

Density functional theory data (PBE) for an optimized crystal structure of HfIn2HgBr6.

abc: 8.1672 8.1672 8.1672
angles: 121.49 121.49 87.43
Closest atoms and distances in Å follow each position.
Positions (direct):
1 Br 0.3833 0.8068 0.1901  1 Hf 2.62
2 Br 0.8068 0.6167 0.4235  1 Hf 2.62
3 Br 0.6167 0.1932 0.8099  1 Hf 2.62
4 Br 0.2788 0.2788 0.0000  1 Hf 2.61
5 Br 0.7212 0.7212 0.0000  1 Hf 2.61
6 Br 0.1932 0.3833 0.5765  1 Hf 2.62
7 Hf 0.5000 0.5000 0.0000  6 Br 2.61-2.62
8 Hg 0.0000 0.0000 0.0000  6 Br 3.29-3.43
9 In 0.2500 0.7500 0.5000  4 Br 3.46
10 In 0.7500 0.2500 0.5000  4 Br 3.46

## Properties
DFT total energy in eV per atom: -3.48
SG: I4/m (87)

***

Density functional theory data (PBE) for an optimized crystal structure of HfHg2PdBr6.

abc: 7.5423 7.5423 7.5423
angles: 60.00 60.00 60.00
Closest atoms and distances in Å follow each position.
Positions (direct):
1 Br 0.7549 0.7549 0.2451  1 Hf 2.61, 1 Pd 2.72
2 Br 0.7549 0.2451 0.2451  1 Hf 2.61, 1 Pd 2.72
3 Br 0.2451 0.7549 0.2451  1 Hf 2.61, 1 Pd 2.72
4 Br 0.2451 0.2451 0.7549  1 Hf 2.61, 1 Pd 2.72
5 Br 0.2451 0.7549 0.7549  1 Hf 2.61, 1 Pd 2.72
6 Br 0.7549 0.2451 0.7549  1 Hf 2.61, 1 Pd 2.72
7 Pd 0.5000 0.5000 0.5000  6 Br 2.72
8 Hf 0.0000 0.0000 0.0000  6 Br 2.61
9 Hg 0.2500 0.2500 0.2500  12 Br 3.77
10 Hg 0.7500 0.7500 0.7500  12 Br 3.77

## Properties
DFT total energy in eV per atom: -3.14
SG: Fm-3m (225)